# 1
# Pm8HoTh4 (PBE-GGA, relaxed)
data_Pm8HoTh4
_chemical_formula_sum 'Pm24 Ho3 Th12'
_cell_length_a 11.3410
_cell_length_b 11.3410
_cell_length_c 13.1693
_cell_angle_alpha 90.00
_cell_angle_beta 90.00
_cell_angle_gamma 120.00
_space_group_name_H-M_alt 'R -3 m'
_space_group_IT_number 166
_space_group_name_Hall '-R 3 2"'
loop_
_atom_site_label
_atom_site_type_symbol
_atom_site_fract_x
_atom_site_fract_y
_atom_site_fract_z
Pm1 Pm 0.0000 0.0000 0.2375
Pm2 Pm 0.0079 0.5039 0.7355
Ho1 Ho 0.0000 0.0000 0.5000
Th1 Th 0.0000 0.0000 0.0000
Th2 Th 0.0000 0.5000 0.0000
# DOS(E_F) in states/eV/cell: 64.995
# Electronic total energy in eV per atom: -4.998
# DFT formation energy in eV/atom: 0.561

---

# 2
# PmHo2Th (PBE-GGA, relaxed)
data_PmHo2Th
_chemical_formula_sum 'Pm4 Ho8 Th4'
_cell_length_a 8.036
_cell_length_b 8.036
_cell_length_c 8.036
_cell_angle_alpha 90.00
_cell_angle_beta 90.00
_cell_angle_gamma 90.00
_space_group_name_H-M_alt 'F m -3 m'
_space_group_IT_number 225
_space_group_name_Hall '-F 4 2 3'
loop_
_atom_site_label
_atom_site_type_symbol
_atom_site_fract_x
_atom_site_fract_y
_atom_site_fract_z
Pm1 Pm 0.000 0.000 0.000
Ho1 Ho 0.250 0.250 0.250
Th1 Th 0.000 0.000 0.500
# DOS(E_F) in states/eV/cell: 33.968
# Electronic total energy in eV per atom: -5.193
# DFT formation energy in eV/atom: 0.138
# Energy above the most stable polymorph in this dataset in eV/atom: 0.142

---

Looking at ρ for the records above, in order, we have 7.65; 9.05 g/cm3.